[1]
Here is crystalline TaGa3As at its relaxed geometry from Alexandria. Energies are from PBE-GGA.

Structure (POSCAR):
```
TaGa3As
1.0
4.8171 0.0000 0.0000
0.0000 4.8171 0.0000
0.0000 0.0000 4.8171
Ta Ga As
1 3 1
direct
0.0000 0.0000 0.0000
0.0000 0.5000 0.5000
0.5000 0.0000 0.5000
0.5000 0.5000 0.0000
0.5000 0.5000 0.5000
```

Results
Uncorrected energy   -4.019 eV per atom
Total moment   1.55 μB per formula unit
ΔE to the lowest computed polymorph   256 meV per atom
Space group   Pm-3m (221)
N(E_F)   4.34 states/eV per cell
Formation enthalpy at 0 K   1.0971 eV/atom

***

[2]
Here is crystalline TaGa3As at its relaxed geometry from Alexandria. Energies are from PBE-GGA.

Structure (POSCAR):
```
TaGa3As
1.0
5.0578 0.0000 0.0000
0.0000 5.0578 0.0000
0.0000 0.0000 5.0578
Ta Ga As
1 3 1
direct
0.0000 0.0000 0.0000
0.0000 0.0000 0.5000
0.0000 0.5000 0.0000
0.5000 0.0000 0.0000
0.5000 0.5000 0.5000
```

Results
Uncorrected energy   -4.276 eV per atom
Total moment   0.00 μB per formula unit
ΔE to the lowest computed polymorph   0 meV per atom
Space group   Pm-3m (221)
N(E_F)   4.49 states/eV per cell
Formation enthalpy at 0 K   0.8408 eV/atom

***

[3]
Here is crystalline Ta3GaAs at its relaxed geometry from Alexandria. Energies are from PBE-GGA.

Structure (POSCAR):
```
Ta3GaAs
1.0
4.7366 0.0000 0.0000
0.0000 4.7366 0.0000
0.0000 0.0000 4.7366
Ta Ga As
3 1 1
direct
0.0000 0.0000 0.5000
0.0000 0.5000 0.0000
0.5000 0.0000 0.0000
0.5000 0.5000 0.5000
0.0000 0.0000 0.0000
```

Results
Uncorrected energy   -7.683 eV per atom
Total moment   0.00 μB per formula unit
ΔE to the lowest computed polymorph   0 meV per atom
Space group   Pm-3m (221)
N(E_F)   7.11 states/eV per cell
Formation enthalpy at 0 K   0.9640 eV/atom

***

[4]
Here is crystalline TaGa2As at its relaxed geometry from Alexandria. Energies are from PBE-GGA.

Structure (POSCAR):
```
TaGa2As
1.0
-3.7370 3.7370 2.6438
3.7370 -3.7370 2.6438
3.7370 3.7370 -2.6438
Ta Ga As
2 4 2
direct
0.0000 0.0000 0.0000
0.7500 0.2500 0.5000
0.1309 0.6250 0.0059
0.3750 0.3809 0.5059
0.6191 0.1250 0.9941
0.8750 0.8691 0.4941
0.2500 0.7500 0.5000
0.5000 0.5000 0.0000
```

Results
Uncorrected energy   -5.348 eV per atom
Total moment   0.00 μB per formula unit
Space group   I-42d (122)
N(E_F)   6.64 states/eV per cell
Formation enthalpy at 0 K   0.2914 eV/atom

***

[5]
Here is crystalline Ta4Ga2As at its relaxed geometry from Alexandria. Energies are from PBE-GGA.

Structure (POSCAR):
```
Ta4Ga2As
1.0
-2.2905 2.2905 6.9701
2.2905 -2.2905 6.9701
2.2905 2.2905 -6.9701
Ta Ga As
4 2 1
direct
0.0000 0.5000 0.5000
0.1795 0.1795 0.0000
0.5000 0.0000 0.5000
0.8205 0.8205 0.0000
0.3683 0.3683 0.0000
0.6317 0.6317 0.0000
0.0000 0.0000 0.0000
```

Results
Uncorrected energy   -7.392 eV per atom
Total moment   0.00 μB per formula unit
Space group   I4/mmm (139)
N(E_F)   8.70 states/eV per cell
Formation enthalpy at 0 K   0.9104 eV/atom

***

[6]
Here is crystalline Zr2TaGaAs at its relaxed geometry from Alexandria. Energies are from PBE-GGA.

Structure (POSCAR):
```
Zr2TaGaAs
1.0
5.1183 0.0000 0.0000
0.0000 5.1183 0.0000
0.0000 0.0000 4.9234
Zr Ta Ga As
2 1 1 1
direct
0.0000 0.5000 0.0000
0.5000 0.0000 0.0000
0.0000 0.0000 0.0000
0.0000 0.0000 0.5000
0.5000 0.5000 0.5000
```

Results
Uncorrected energy   -6.542 eV per atom
Total moment   0.00 μB per formula unit
Space group   P4/mmm (123)
N(E_F)   3.76 states/eV per cell
Formation enthalpy at 0 K   0.7834 eV/atom

***

[7]
Here is crystalline TbGaAs at its relaxed geometry from Alexandria. Energies are from PBE-GGA.

Structure (POSCAR):
```
TbGaAs
1.0
2.3651 1.3655 7.8936
-2.3651 1.3655 7.8936
0.0000 -2.7310 7.8936
Tb Ga As
2 2 2
direct
0.0916 0.0916 0.0916
0.9084 0.9084 0.9084
0.3249 0.3249 0.3249
0.6751 0.6751 0.6751
0.2168 0.2168 0.2168
0.7832 0.7832 0.7832
```

Results
Uncorrected energy   -4.817 eV per atom
Total moment   0.00 μB per formula unit
Space group   R-3m (166)
N(E_F)   1.01 states/eV per cell
Formation enthalpy at 0 K   -0.7146 eV/atom

***

[8]
Here is crystalline Tb4GaAs3 at its relaxed geometry from Alexandria. Energies are from PBE-GGA.

Structure (POSCAR):
```
Tb4GaAs3
1.0
5.8673 0.0000 0.0000
0.0000 5.8673 0.0000
0.0000 0.0000 5.8673
Tb Ga As
4 1 3
direct
0.0000 0.0000 0.0000
0.0000 0.5000 0.5000
0.5000 0.0000 0.5000
0.5000 0.5000 0.0000
0.5000 0.5000 0.5000
0.0000 0.0000 0.5000
0.0000 0.5000 0.0000
0.5000 0.0000 0.0000
```

Results
Uncorrected energy   -5.629 eV per atom
Total moment   0.00 μB per formula unit
Space group   Pm-3m (221)
N(E_F)   2.84 states/eV per cell
Formation enthalpy at 0 K   -1.1920 eV/atom

***

[9]
Here is crystalline Tb6GaTe3As2 at its relaxed geometry from Alexandria. Energies are from PBE-GGA.

Structure (POSCAR):
```
Tb6GaTe3As2
1.0
9.3807 -2.1010 0.0000
9.3807 2.1010 0.0000
-2.1933 0.0000 8.4056
Tb Ga Te As
6 1 3 2
direct
0.0051 0.0051 0.2357
0.3266 0.3266 0.4335
0.3406 0.3406 0.9021
0.6594 0.6594 0.0979
0.6734 0.6734 0.5665
0.9949 0.9949 0.7643
0.5000 0.5000 0.0000
0.1684 0.1684 0.8318
0.5000 0.5000 0.5000
0.8316 0.8316 0.1682
0.1672 0.1672 0.3349
0.8328 0.8328 0.6651
```

Results
ΔE_f (raw)   -1.332 eV/atom
Uncorrected energy   -5.460 eV per atom
Total moment   0.00 μB per formula unit
Space group   C2/m (12)
N(E_F)   3.36 states/eV per cell

***

[10]
Here is crystalline GaTc2As at its relaxed geometry from Alexandria. Energies are from PBE-GGA.

Structure (POSCAR):
```
GaTc2As
1.0
3.0629 0.0000 0.0000
0.0000 3.0629 0.0000
0.0000 0.0000 6.1767
Ga Tc As
1 2 1
direct
0.0000 0.0000 0.0000
0.5000 0.5000 0.2570
0.5000 0.5000 0.7430
0.0000 0.0000 0.5000
```

Results
Uncorrected energy   -7.167 eV per atom
Total moment   0.00 μB per formula unit
ΔE to the lowest computed polymorph   0 meV per atom
Space group   P4/mmm (123)
N(E_F)   3.13 states/eV per cell
Formation enthalpy at 0 K   -0.0650 eV/atom

***

[11]
Here is crystalline GaTc3As at its relaxed geometry from Alexandria. Energies are from PBE-GGA.

Structure (POSCAR):
```
GaTc3As
1.0
4.5435 0.0000 0.0000
0.0000 4.5435 0.0000
0.0000 0.0000 4.5435
Ga Tc As
1 3 1
direct
0.0000 0.0000 0.0000
0.0000 0.5000 0.5000
0.5000 0.0000 0.5000
0.5000 0.5000 0.0000
0.5000 0.5000 0.5000
```

Results
Uncorrected energy   -6.761 eV per atom
Total moment   2.25 μB per formula unit
ΔE to the lowest computed polymorph   0 meV per atom
Space group   Pm-3m (221)
N(E_F)   2.60 states/eV per cell
Formation enthalpy at 0 K   0.9941 eV/atom

***

[12]
Here is crystalline GaTcAs at its relaxed geometry from Alexandria. Energies are from PBE-GGA.

Structure (POSCAR):
```
GaTcAs
1.0
-1.6282 1.6282 4.3593
1.6282 -1.6282 4.3593
1.6282 1.6282 -4.3593
Ga Tc As
1 1 1
direct
0.0000 0.0000 0.0000
0.6721 0.6721 0.0000
0.3161 0.3161 0.0000
```

Results
Uncorrected energy   -6.121 eV per atom
Total moment   0.00 μB per formula unit
ΔE to the lowest computed polymorph   0 meV per atom
Space group   I4mm (107)
N(E_F)   2.16 states/eV per cell
Formation enthalpy at 0 K   -0.1071 eV/atom

***

[13]
Here is crystalline GaTc2As at its relaxed geometry from Alexandria. Energies are from PBE-GGA.

Structure (POSCAR):
```
GaTc2As
1.0
1.4822 0.8558 7.8842
-1.4822 0.8558 7.8842
0.0000 -1.7116 7.8842
Ga Tc As
1 2 1
direct
0.0000 0.0000 0.0000
0.2474 0.2474 0.2474
0.4196 0.4196 0.4196
0.8337 0.8337 0.8337
```

Results
Uncorrected energy   -7.147 eV per atom
Total moment   0.00 μB per formula unit
ΔE to the lowest computed polymorph   20 meV per atom
Space group   R3m (160)
N(E_F)   3.97 states/eV per cell
Formation enthalpy at 0 K   -0.0449 eV/atom

***

[14]
Here is crystalline GaTc2As at its relaxed geometry from Alexandria. Energies are from PBE-GGA.

Structure (POSCAR):
```
GaTc2As
1.0
0.0000 3.0682 3.0682
3.0682 0.0000 3.0682
3.0682 3.0682 0.0000
Ga Tc As
1 2 1
direct
0.0000 0.0000 0.0000
0.2500 0.2500 0.2500
0.7500 0.7500 0.7500
0.5000 0.5000 0.5000
```

Results
Uncorrected energy   -7.138 eV per atom
Total moment   0.00 μB per formula unit
ΔE to the lowest computed polymorph   30 meV per atom
Space group   Fm-3m (225)
N(E_F)   4.44 states/eV per cell
Formation enthalpy at 0 K   -0.0355 eV/atom

***

[15]
Here is crystalline GaTc2As at its relaxed geometry from Alexandria. Energies are from PBE-GGA.

Structure (POSCAR):
```
GaTc2As
1.0
-3.4910 3.4910 2.7576
3.4910 -3.4910 2.7576
3.4910 3.4910 -2.7576
Ga Tc As
2 4 2
direct
0.0000 0.0000 0.0000
0.7500 0.2500 0.5000
0.1649 0.6250 0.0399
0.3750 0.4149 0.5399
0.5851 0.1250 0.9601
0.8750 0.8351 0.4601
0.2500 0.7500 0.5000
0.5000 0.5000 0.0000
```

Results
Uncorrected energy   -6.621 eV per atom
Total moment   2.03 μB per formula unit
ΔE to the lowest computed polymorph   547 meV per atom
Space group   I-42d (122)
N(E_F)   2.66 states/eV per cell
Formation enthalpy at 0 K   0.4816 eV/atom

***

[16]
Here is crystalline GaTc2As2 at its relaxed geometry from Alexandria. Energies are from PBE-GGA.

Structure (POSCAR):
```
GaTc2As2
1.0
-1.8814 1.8814 5.9962
1.8814 -1.8814 5.9962
1.8814 1.8814 -5.9962
Ga Tc As
1 2 2
direct
0.0000 0.0000 0.0000
0.3864 0.3864 0.0000
0.6136 0.6136 0.0000
0.2500 0.7500 0.5000
0.7500 0.2500 0.5000
```

Results
Uncorrected energy   -6.452 eV per atom
Total moment   0.00 μB per formula unit
ΔE to the lowest computed polymorph   145 meV per atom
Space group   I4/mmm (139)
N(E_F)   2.56 states/eV per cell
Formation enthalpy at 0 K   0.1595 eV/atom

***

[17]
Here is crystalline GaTcAs at its relaxed geometry from Alexandria. Energies are from PBE-GGA.

Structure (POSCAR):
```
GaTcAs
1.0
4.2708 0.0000 0.0000
-0.0127 5.2097 0.0000
-2.1302 -2.4708 5.7366
Ga Tc As
2 2 2
direct
0.0595 0.3057 0.1189
0.9405 0.6943 0.8811
0.5000 0.0000 0.0000
0.5000 0.5000 0.0000
0.3141 0.0758 0.6276
0.6859 0.9242 0.3724
```

Results
Uncorrected energy   -5.923 eV per atom
Total moment   0.00 μB per formula unit
ΔE to the lowest computed polymorph   199 meV per atom
Space group   P-1 (2)
N(E_F)   3.66 states/eV per cell
Formation enthalpy at 0 K   0.0914 eV/atom

***

[18]
Here is crystalline GaTc2As2 at its relaxed geometry from Alexandria. Energies are from PBE-GGA.

Structure (POSCAR):
```
GaTc2As2
1.0
7.1373 0.0000 0.0000
0.0000 7.1373 0.0000
0.0000 0.0000 3.1259
Ga Tc As
2 4 4
direct
0.0000 0.0000 0.0000
0.5000 0.5000 0.0000
0.1506 0.3494 0.0000
0.3494 0.8494 0.0000
0.6506 0.1506 0.0000
0.8494 0.6506 0.0000
0.1441 0.6441 0.5000
0.3559 0.1441 0.5000
0.6441 0.8559 0.5000
0.8559 0.3559 0.5000
```

Results
Uncorrected energy   -6.597 eV per atom
Total moment   0.00 μB per formula unit
ΔE to the lowest computed polymorph   0 meV per atom
Space group   P4/mbm (127)
N(E_F)   7.30 states/eV per cell
Formation enthalpy at 0 K   0.0147 eV/atom

***

[19]
Here is crystalline Ga2TcAsW at its relaxed geometry from Alexandria. Energies are from PBE-GGA.

Structure (POSCAR):
```
Ga2TcAsW
1.0
4.7416 0.0000 0.0000
0.0000 4.7416 0.0000
0.0000 0.0000 4.6673
Ga Tc As W
2 1 1 1
direct
0.0000 0.5000 0.0000
0.5000 0.0000 0.0000
0.0000 0.0000 0.5000
0.5000 0.5000 0.0000
0.5000 0.5000 0.5000
```

Results
Uncorrected energy   -5.287 eV per atom
Total moment   2.32 μB per formula unit
Space group   P4/mmm (123)
N(E_F)   5.22 states/eV per cell
Formation enthalpy at 0 K   1.5179 eV/atom

***

[20]
Here is crystalline ZnGaTc2As at its relaxed geometry from Alexandria. Energies are from PBE-GGA.

Structure (POSCAR):
```
ZnGaTc2As
1.0
4.6835 0.0000 0.0000
0.0000 4.6835 0.0000
0.0000 0.0000 4.6801
Zn Ga Tc As
1 1 2 1
direct
0.0000 0.0000 0.0000
0.5000 0.5000 0.5000
0.0000 0.5000 0.5000
0.5000 0.0000 0.5000
0.5000 0.5000 0.0000
```

Results
Uncorrected energy   -4.562 eV per atom
Total moment   2.49 μB per formula unit
Space group   P4/mmm (123)
N(E_F)   4.02 states/eV per cell
Formation enthalpy at 0 K   1.3741 eV/atom